(1)
## Li4La3Sn4 (PBE-GGA)

Data for a relaxed Li4La3Sn4 crystal.

```
11
Lattice="-2.390 3.670 7.879 2.390 -3.670 7.879 2.390 3.670 -7.879" Properties=species:S:1:pos:R:3 pbc="T T T"
Li 2.390 -2.290 5.181
Li 0.000 1.380 2.698
Li 2.390 2.290 5.181
Li 0.000 5.960 2.698
La 2.390 0.000 0.000
La 0.000 0.000 5.817
La 0.000 0.000 9.940
Sn 2.390 0.000 3.383
Sn 0.000 2.233 0.000
Sn 0.000 5.106 0.000
Sn 0.000 3.670 4.496
```

Output
Density: 5.5 g cm⁻³
Distance to the lowest polymorph of the same formula: 0 meV/atom
DOS(E_F): 3.42 states/eV per cell

(2)
## LaCoP2 (PBE-GGA)

Data for a relaxed LaCoP2 crystal.

```
4
Lattice="4.205 0.000 0.000 0.000 4.124 0.000 -0.103 0.000 4.471" Properties=species:S:1:pos:R:3 pbc="T T T"
La 0.000 0.000 0.000
Co 2.690 2.062 1.780
P 0.548 2.062 2.295
P 1.989 0.000 2.321
```

Output
Density: 5.6 g cm⁻³
Distance to the lowest polymorph of the same formula: 137 meV/atom
DOS(E_F): 0.61 states/eV per cell

(3)
## ScRuPt2 (PBE-GGA)

Data for a relaxed ScRuPt2 crystal.

```
4
Lattice="0.000 3.194 3.194 3.194 0.000 3.194 3.194 3.194 0.000" Properties=species:S:1:pos:R:3 pbc="T T T"
Sc 0.000 0.000 0.000
Ru 1.597 1.597 1.597
Pt 3.194 3.194 3.194
Pt 4.791 4.791 4.791
```

Output
Density: 13.7 g cm⁻³
Total DFT energy (no corrections): -7.326 eV/atom
DOS(E_F): 4.74 states/eV per cell